No. 1
A plane-wave DFT calculation with GGA-PBE was carried out for a geometry-optimized Th4Ag2O structure.

- Space group: I4/mmm (139)
- Formation energy (no corrections): -0.61 eV per atom

Cell lengths 4.897, 4.897, 8.425 Å; angles 106.89, 106.89, 90.00 degrees
Element x y z (fractional)
1 O 0.000 0.000 0.000
2 Ag 0.634 0.634 0.268
3 Ag 0.366 0.366 0.732
4 Th 0.825 0.825 0.651
5 Th 0.175 0.175 0.349
6 Th 0.000 0.500 0.000
7 Th 0.500 0.000 0.000


No. 2
A plane-wave DFT calculation with GGA-PBE was carried out for a geometry-optimized Ga2GeRu structure.

- Space group: R-3m (166)
- ΔE_f: -0.070 eV per atom

Cell lengths 2.964, 2.964, 9.110 Å; angles 80.64, 80.64, 60.00 degrees
Element x y z (fractional)
1 Ru 0.500 0.500 0.500
2 Ge 0.000 0.000 0.000
3 Ga 0.096 0.096 0.712
4 Ga 0.904 0.904 0.288


No. 3
A plane-wave DFT calculation with GGA-PBE was carried out for a geometry-optimized Mg2Sn2Hg structure.

- E above lowest polymorph: 6.5 kJ/mol of atoms
- Space group: P4/mbm (127)
- ΔE_f: -0.057 eV per atom

Cell lengths 8.953, 8.953, 3.190 Å; angles 90.00, 90.00, 90.00 degrees
Element x y z (fractional)
1 Mg 0.345 0.845 0.000
2 Mg 0.845 0.655 0.000
3 Mg 0.655 0.155 0.000
4 Mg 0.155 0.345 0.000
5 Hg 0.000 0.000 0.000
6 Hg 0.500 0.500 0.000
7 Sn 0.142 0.642 0.500
8 Sn 0.642 0.858 0.500
9 Sn 0.858 0.358 0.500
10 Sn 0.358 0.142 0.500


No. 4
A plane-wave DFT calculation with GGA-PBE was carried out for a geometry-optimized Ho2Cu5B4 structure.

- Space group: C2 (5)
- ΔE_f: -0.080 eV per atom

Cell lengths 5.206, 4.990, 6.677 Å; angles 78.30, 67.10, 58.55 degrees
Element x y z (fractional)
1 B 0.753 0.796 0.697
2 B 0.245 0.203 0.304
3 B 0.451 0.796 0.303
4 B 0.552 0.203 0.696
5 Ho 0.854 0.000 0.291
6 Ho 0.146 0.000 0.709
7 Cu 0.250 0.500 0.500
8 Cu 0.995 0.501 0.007
9 Cu 0.499 0.002 0.000
10 Cu 0.504 0.501 0.993
11 Cu 0.750 0.500 0.500


No. 5
A plane-wave DFT calculation with GGA-PBE was carried out for a geometry-optimized SmAg2Au structure.

- E above lowest polymorph: 10.4 kJ/mol of atoms
- Space group: P-3m1 (164)
- ΔE_f: -0.288 eV per atom

Cell lengths 5.021, 5.021, 8.321 Å; angles 90.00, 90.00, 60.00 degrees
Element x y z (fractional)
1 Sm 0.000 0.000 0.760
2 Sm 0.000 0.000 0.240
3 Ag 0.667 0.667 0.930
4 Ag 0.333 0.333 0.070
5 Ag 0.667 0.667 0.589
6 Ag 0.333 0.333 0.411
7 Au 0.667 0.667 0.260
8 Au 0.333 0.333 0.740


No. 6
A plane-wave DFT calculation with GGA-PBE was carried out for a geometry-optimized HoZnPd6 structure.

- E above lowest polymorph: 28.2 kJ/mol of atoms
- Space group: C2/m (12)
- ΔE_f: -0.290 eV per atom

Cell lengths 4.859, 4.859, 7.278 Å; angles 73.12, 73.12, 66.90 degrees
Element x y z (fractional)
1 Ho 0.500 0.500 0.500
2 Zn 0.000 0.000 0.000
3 Pd 0.066 0.554 0.293
4 Pd 0.554 0.066 0.293
5 Pd 0.446 0.934 0.707
6 Pd 0.934 0.446 0.707
7 Pd 0.353 0.353 0.939
8 Pd 0.647 0.647 0.061


No. 7
A plane-wave DFT calculation with GGA-PBE was carried out for a geometry-optimized Ca3ErZr2As6 structure.

- Space group: C2/m (12)
- ΔE_f: -1.198 eV per atom

Cell lengths 6.969, 6.969, 7.245 Å; angles 99.25, 99.25, 120.03 degrees
Element x y z (fractional)
1 Ca 0.164 0.836 0.500
2 Ca 0.836 0.164 0.500
3 Ca 0.500 0.500 0.500
4 Er 0.000 0.000 0.000
5 Zr 0.333 0.667 0.000
6 Zr 0.667 0.333 0.000
7 As 0.923 0.580 0.771
8 As 0.733 0.733 0.228
9 As 0.077 0.420 0.229
10 As 0.580 0.923 0.771
11 As 0.267 0.267 0.772
12 As 0.420 0.077 0.229


No. 8
A plane-wave DFT calculation with GGA-PBE was carried out for a geometry-optimized CaReAu4 structure.

- Space group: F-43m (216)
- ΔE_f: 0.307 eV per atom

Cell lengths 5.535, 5.535, 5.535 Å; angles 60.00, 60.00, 60.00 degrees
Last column: magnetic moment on the atom in μB.
Element x y z (fractional)
1 Ca 0.750 0.750 0.750  0.02
2 Re 0.000 0.000 0.000  2.74
3 Au 0.876 0.375 0.375  0.03
4 Au 0.375 0.375 0.876  0.03
5 Au 0.375 0.876 0.375  0.03
6 Au 0.375 0.375 0.375  0.03


No. 9
A plane-wave DFT calculation with GGA-PBE was carried out for a geometry-optimized HfZr6Sb3 structure.

- Space group: Cmc2_1 (36)
- Formation energy (no corrections): -0.39 eV per atom

Cell lengths 7.497, 7.968, 7.968 Å; angles 92.83, 90.00, 90.00 degrees
Element x y z (fractional)
1 Hf 0.974 0.334 0.666
2 Hf 0.474 0.666 0.334
3 Zr 0.165 0.714 0.581
4 Zr 0.665 0.581 0.714
5 Zr 0.332 0.573 0.948
6 Zr 0.832 0.948 0.573
7 Zr 0.140 0.091 0.909
8 Zr 0.618 0.216 0.784
9 Zr 0.118 0.784 0.216
10 Zr 0.640 0.909 0.091
11 Zr 0.332 0.052 0.427
12 Zr 0.832 0.427 0.052
13 Zr 0.165 0.419 0.286
14 Zr 0.665 0.286 0.419
15 Sb 0.457 0.888 0.749
16 Sb 0.957 0.749 0.888
17 Sb 0.345 0.391 0.609
18 Sb 0.845 0.609 0.391
19 Sb 0.957 0.112 0.251
20 Sb 0.457 0.251 0.112


No. 10
A plane-wave DFT calculation with GGA-PBE was carried out for a geometry-optimized PrAl4 structure.

- E above lowest polymorph: 0.0 kJ/mol of atoms
- Space group: Imma (74)
- ΔE_f: -0.336 eV per atom

Cell lengths 4.528, 6.526, 7.973 Å; angles 114.16, 106.50, 90.00 degrees
Element x y z (fractional)
1 Pr 0.885 0.135 0.770
2 Pr 0.115 0.865 0.230
3 Al 0.115 0.365 0.230
4 Al 0.885 0.635 0.770
5 Al 0.500 0.000 0.000
6 Al 0.500 0.500 0.000
7 Al 0.698 0.243 0.396
8 Al 0.302 0.757 0.604
9 Al 0.302 0.347 0.604
10 Al 0.698 0.653 0.396


No. 11
A plane-wave DFT calculation with GGA-PBE was carried out for a geometry-optimized HoCrW2C4 structure.

- Space group: Cmcm (63)
- ΔE_f: -0.069 eV per atom

Cell lengths 3.179, 5.670, 10.706 Å; angles 90.00, 90.00, 106.28 degrees
Element x y z (fractional)
1 Ho 0.108 0.217 0.750
2 Ho 0.892 0.783 0.250
3 Cr 0.842 0.684 0.750
4 Cr 0.158 0.316 0.250
5 W 0.374 0.748 0.539
6 W 0.626 0.252 0.039
7 W 0.626 0.252 0.461
8 W 0.374 0.748 0.961
9 C 0.264 0.528 0.115
10 C 0.736 0.472 0.615
11 C 0.736 0.472 0.885
12 C 0.264 0.528 0.385
13 C 0.000 0.000 0.500
14 C 0.000 0.000 0.000
15 C 0.436 0.873 0.750
16 C 0.564 0.127 0.250


No. 12
A plane-wave DFT calculation with GGA-PBE was carried out for a geometry-optimized CsTmTl2Br6 structure.

- Space group: P1 (1)
- Formation energy (no corrections): -1.47 eV per atom

Cell lengths 8.272, 8.277, 8.663 Å; angles 61.51, 61.52, 60.00 degrees
Element x y z (fractional)
1 Cs 0.811 0.812 0.565
2 Tm 0.326 0.326 0.023
3 Tl 0.525 0.525 0.425
4 Tl 0.011 0.010 0.969
5 Br 0.547 0.237 0.231
6 Br 0.237 0.985 0.232
7 Br 0.985 0.547 0.231
8 Br 0.388 0.680 0.780
9 Br 0.680 0.152 0.780
10 Br 0.152 0.388 0.780


Per-record size of the total moment, μB/atom: 0.00; 0.00; 0.00; 0.00; 0.03; 0.00; 0.00; 0.55; 0.00; 0.00; 0.00; 0.00